No. 1
A plane-wave DFT calculation with GGA-PBE was carried out for CeErTiIn after structural relaxation.

abc: 5.273 5.273 5.273
angles: 60.00 60.00 60.00
Element x y z (fractional)
In1 0.250 0.250 0.250
Ti1 0.750 0.750 0.750
Ce1 0.500 0.500 0.500
Er1 0.000 0.000 0.000

N(E_F), states/eV/cell: 6.5
DFT formation energy, eV/atom: -0.043
Magnetization, μB/cell: 3.40


No. 2
A plane-wave DFT calculation with GGA-PBE was carried out for SmDy2PaS4 after structural relaxation.

abc: 3.893 6.792 6.837
angles: 108.98 90.00 90.00
Element x y z (fractional)
Sm1 0.000 0.000 0.000
Dy1 0.500 0.000 0.500
Dy2 0.000 0.500 0.500
Pa1 0.500 0.500 0.000
S1 0.500 0.256 0.257
S2 0.500 0.744 0.743
S3 0.000 0.251 0.745
S4 0.000 0.749 0.255

N(E_F), states/eV/cell: 5.4
Electronic total energy, eV/atom: -6.88
Magnetization, μB/cell: 0.00


No. 3
A plane-wave DFT calculation with GGA-PBE was carried out for Ca2Ac3Pr2 after structural relaxation.

abc: 5.901 3.838 13.334
angles: 90.00 77.22 90.00
Element x y z (fractional)
Ca1 0.574 0.500 0.853
Ca2 0.426 0.500 0.147
Ac1 0.845 0.000 0.310
Ac2 0.000 0.000 0.000
Ac3 0.155 0.000 0.690
Pr1 0.717 0.500 0.567
Pr2 0.283 0.500 0.433

N(E_F), states/eV/cell: 10.9
DFT formation energy, eV/atom: 0.052
Magnetization, μB/cell: 0.00


No. 4
A plane-wave DFT calculation with GGA-PBE was carried out for Li3NdBi3 after structural relaxation.

abc: 7.297 7.297 7.297
angles: 90.00 90.00 90.00
Element x y z (fractional)
Nd1 0.500 0.500 0.500
Nd2 0.000 0.000 0.000
Bi1 0.000 0.250 0.500
Bi2 0.000 0.750 0.500
Bi3 0.500 0.000 0.750
Bi4 0.750 0.500 0.000
Bi5 0.500 0.000 0.250
Bi6 0.250 0.500 0.000
Li1 0.250 0.000 0.500
Li2 0.000 0.500 0.250
Li3 0.500 0.750 0.000
Li4 0.750 0.000 0.500
Li5 0.000 0.500 0.750
Li6 0.500 0.250 0.000

N(E_F), states/eV/cell: 8.1
DFT formation energy, eV/atom: -0.037
Magnetization, μB/cell: 0.00


No. 5
A plane-wave DFT calculation with GGA-PBE was carried out for ZrIr3Se after structural relaxation.

abc: 4.889 4.889 4.889
angles: 90.00 90.00 90.00
Element x y z (fractional)
Ir1 0.000 0.500 0.000
Ir2 0.000 0.000 0.500
Ir3 0.500 0.000 0.000
Se1 0.500 0.500 0.500
Zr1 0.000 0.000 0.000

N(E_F), states/eV/cell: 9.1
Electronic total energy, eV/atom: -5.95
Magnetization, μB/cell: 1.02


No. 6
A plane-wave DFT calculation with GGA-PBE was carried out for Tl2BrF after structural relaxation.

abc: 3.721 3.721 7.592
angles: 90.00 90.00 90.00
Element x y z (fractional)
Tl1 0.000 0.000 0.784
Tl2 0.000 0.000 0.216
Br1 0.500 0.500 0.500
F1 0.500 0.500 0.000

N(E_F), states/eV/cell: 0.0
Electronic total energy, eV/atom: -3.25
Magnetization, μB/cell: 0.00